Material: MnNbI2
Method: DFT, GGA-PBE
State: relaxed

- ΔE to the lowest computed polymorph: 0 meV per atom

Unit cell a=6.7722 b=6.7722 c=6.7722 alpha=90.00 beta=90.00 gamma=90.00
Closest atoms and distances in Å follow each position.
Space group Fm-3m (No. 225)
Unique sites:
Mn 0.0000 0.0000 0.0000 [4 per cell]  8 I 2.93
Nb 0.0000 0.0000 0.5000 [4 per cell]  8 I 2.93
I 0.2500 0.2500 0.2500 [8 per cell]  4 Nb 2.93, 4 Mn 2.93